(1)
KNdCdTe3 | PBE-GGA | relaxed

Computed properties:
- magnetization (μB per formula unit) = 0.00
- VASP energy (Ry per atom) = -0.2765

Cell: 9.2652 4.5768 11.1193 Å, 90.00 107.07 90.00°
With the nearest neighbours (Å) after each atom.
Positions (direct):
Cd 0.0812 0.2500 0.1110  4 Te 2.81-2.98
Cd 0.9188 0.7500 0.8890  4 Te 2.81-2.98
K 0.7594 0.7500 0.2287  6 Te 3.53-3.85
K 0.2406 0.2500 0.7713  6 Te 3.53-3.85
Nd 0.3132 0.7500 0.3657  6 Te 3.12-3.38
Nd 0.6868 0.2500 0.6343  6 Te 3.12-3.38
Te 0.2388 0.7500 0.0496  3 Cd 2.90-2.98
Te 0.5414 0.2500 0.3431  3 Nd 3.12-3.18
Te 0.0694 0.2500 0.3610  1 Cd 2.81
Te 0.9306 0.7500 0.6390  1 Cd 2.81
Te 0.4586 0.7500 0.6569  3 Nd 3.12-3.18
Te 0.7612 0.2500 0.9504  3 Cd 2.90-2.98

=====

(2)
YTl2Au | PBE-GGA | relaxed

Computed properties:
- magnetization (μB per formula unit) = 0.00
- VASP energy (Ry per atom) = -0.2874

Cell: 5.1656 5.1656 5.1656 Å, 60.00 60.00 60.00°
With the nearest neighbours (Å) after each atom.
Positions (direct):
Au 0.2500 0.2500 0.2500  4 Tl 3.16, 4 Y 3.16
Tl 0.5000 0.5000 0.5000  4 Au 3.16, 4 Tl 3.16
Tl 0.7500 0.7500 0.7500  4 Tl 3.16, 4 Y 3.16
Y 0.0000 0.0000 0.0000  4 Au 3.16, 4 Tl 3.16

=====

(3)
UInMo | PBE-GGA | relaxed

Computed properties:
- energy above the lowest structure with this stoichiometry (eV/atom) = 0.000
- magnetization (μB per formula unit) = 1.26

Cell: 4.6609 4.6609 4.6609 Å, 60.00 60.00 60.00°
With the nearest neighbours (Å) after each atom.
Positions (direct):
In 0.2500 0.2500 0.2500  4 Mo 2.85
Mo 0.0000 0.0000 0.0000  4 U 2.85, 4 In 2.85
U 0.7500 0.7500 0.7500  4 Mo 2.85

=====

(4)
FeH10PtC14N6 | PBE-GGA | relaxed

Computed properties:
- magnetization (μB per formula unit) = 0.00
- VASP energy (Ry per atom) = -0.5196

Cell: 8.1014 8.1014 7.1173 Å, 90.00 90.00 127.88°
With the nearest neighbours (Å) after each atom.
Positions (direct):
C 0.6722 0.3278 0.0000  1 H 1.09
C 0.3278 0.6722 0.0000  1 H 1.09
C 0.8167 0.1833 0.1627  1 H 1.09
C 0.1833 0.8167 0.1627  1 H 1.09
C 0.7214 0.2786 0.1678  1 H 1.09
C 0.2786 0.7214 0.1678  1 H 1.09
C 0.3027 0.3027 0.3042  1 N 1.17
C 0.6973 0.6973 0.3042  1 N 1.17
C 0.3027 0.3027 0.6958  1 N 1.17
C 0.6973 0.6973 0.6958  1 N 1.17
C 0.7214 0.2786 0.8322  1 H 1.09
C 0.2786 0.7214 0.8322  1 H 1.09
C 0.8167 0.1833 0.8373  1 H 1.09
C 0.1833 0.8167 0.8373  1 H 1.09
Fe 0.0000 0.0000 0.0000  6 N 1.88-1.98
H 0.5974 0.4026 0.0000  1 C 1.09
H 0.4026 0.5974 0.0000  1 C 1.09
H 0.8581 0.1419 0.2899  1 C 1.09
H 0.1419 0.8581 0.2899  1 C 1.09
H 0.6858 0.3142 0.3025  1 C 1.09
H 0.3142 0.6858 0.3025  1 C 1.09
H 0.6858 0.3142 0.6975  1 C 1.09
H 0.3142 0.6858 0.6975  1 C 1.09
H 0.8581 0.1419 0.7101  1 C 1.09
H 0.1419 0.8581 0.7101  1 C 1.09
N 0.8641 0.1359 0.0000  2 C 1.35
N 0.1359 0.8641 0.0000  2 C 1.35
N 0.1873 0.1873 0.1869  1 C 1.17
N 0.8127 0.8127 0.1869  1 C 1.17
N 0.1873 0.1873 0.8131  1 C 1.17
N 0.8127 0.8127 0.8131  1 C 1.17
Pt 0.5000 0.5000 0.5000  4 C 1.98

=====

(5)
Gd2Tm2CI5 | PBE-GGA | relaxed

Computed properties:
- energy above the lowest structure with this stoichiometry (eV/atom) = 0.000
- magnetization (μB per formula unit) = 0.31

Cell: 10.7757 10.7757 8.6046 Å, 101.27 101.27 21.19°
With the nearest neighbours (Å) after each atom.
Positions (direct):
C 0.5000 0.5000 0.0000  2 Tm 2.34, 4 Gd 2.58
Gd 0.9998 0.9998 0.1926  2 C 2.58
Gd 0.0002 0.0002 0.8074  2 C 2.58
I 0.8480 0.8480 0.1740  2 Tm 3.03, 1 Gd 3.19
I 0.1509 0.1509 0.3236  2 Tm 3.02, 1 Gd 3.18
I 0.5000 0.5000 0.5000  4 Gd 3.30
I 0.8491 0.8491 0.6764  2 Tm 3.02, 1 Gd 3.18
I 0.1520 0.1520 0.8260  2 Tm 3.03, 1 Gd 3.19
Tm 0.6128 0.6128 0.0559  1 C 2.34
Tm 0.3872 0.3872 0.9441  1 C 2.34

=====

(6)
RbErZnO3 | PBE-GGA | relaxed

Computed properties:
- magnetization (μB per formula unit) = 0.00
- VASP energy (Ry per atom) = -0.4303

Cell: 6.5956 6.5956 8.9096 Å, 90.00 90.00 149.77°
With the nearest neighbours (Å) after each atom.
Positions (direct):
Er 0.0000 0.0000 0.0000  6 O 2.27
Er 0.0000 0.0000 0.5000  6 O 2.27
O 0.6110 0.3890 0.0497  1 Zn 1.90
O 0.9655 0.0345 0.2500  2 Zn 2.09, 2 Er 2.27
O 0.6110 0.3890 0.4503  1 Zn 1.90
O 0.3890 0.6110 0.5497  1 Zn 1.90
O 0.0345 0.9655 0.7500  2 Zn 2.09, 2 Er 2.27
O 0.3890 0.6110 0.9503  1 Zn 1.90
Rb 0.2791 0.7209 0.2500  8 O 2.93-3.27
Rb 0.7209 0.2791 0.7500  8 O 2.93-3.27
Zn 0.5588 0.4411 0.2500  4 O 1.90-2.09
Zn 0.4411 0.5588 0.7500  4 O 1.90-2.09

=====

Q: Among the records above, which one has the highest magnetization?
A: UInMo

=====

Q: Which of these has the highest magnetization?
A: UInMo

=====

Q: Which value of magnetization does entry 5 give?
A: 0.31 μB per formula unit

=====

Q: What is the magnetization in the first record?
A: 0.00 μB per formula unit